No. 1
ErOsAu, optimized geometry, DFT PBE-GGA; symmetry = No. 216; M_tot = 5.35 μB per cell; energy relative to the lowest polymorph listed for this composition = 0 meV/atom; ΔH_f (0 K) = 0.362 eV/atom; E_tot = -0.2201 Ha/atom; V = 22.22 A^3/atom
1.0
6.436 0.000 0.000
0.000 6.436 0.000
0.000 0.000 6.436
Er Os Au
4 4 4
Direct
0.000 0.000 0.000
0.000 0.500 0.500
0.500 0.000 0.500
0.500 0.500 0.000
0.250 0.250 0.750
0.250 0.750 0.250
0.750 0.250 0.250
0.750 0.750 0.750
0.000 0.000 0.500
0.000 0.500 0.000
0.500 0.000 0.000
0.500 0.500 0.500

=====

No. 2
ErOsAu, optimized geometry, DFT PBE-GGA; symmetry = No. 216; M_tot = 0.18 μB per cell; energy relative to the lowest polymorph listed for this composition = 306 meV/atom; ΔH_f (0 K) = 0.668 eV/atom; E_tot = -0.2089 Ha/atom; V = 22.38 A^3/atom
1.0
6.452 0.000 0.000
0.000 6.452 0.000
0.000 0.000 6.452
Er Os Au
4 4 4
Direct
0.000 0.000 0.000
0.000 0.500 0.500
0.500 0.000 0.500
0.500 0.500 0.000
0.250 0.250 0.250
0.250 0.750 0.750
0.750 0.250 0.750
0.750 0.750 0.250
0.250 0.250 0.750
0.250 0.750 0.250
0.750 0.250 0.250
0.750 0.750 0.750

=====

No. 3
ErPaAu, optimized geometry, DFT PBE-GGA; symmetry = No. 216; M_tot = 4.27 μB per cell; energy relative to the lowest polymorph listed for this composition = 0 meV/atom; ΔH_f (0 K) = 0.517 eV/atom; E_tot = -0.1932 Ha/atom; V = 27.29 A^3/atom
1.0
6.893 0.000 0.000
0.000 6.893 0.000
0.000 0.000 6.893
Er Pa Au
4 4 4
Direct
0.000 0.000 0.000
0.000 0.500 0.500
0.500 0.000 0.500
0.500 0.500 0.000
0.250 0.250 0.750
0.250 0.750 0.250
0.750 0.250 0.250
0.750 0.750 0.750
0.000 0.000 0.500
0.000 0.500 0.000
0.500 0.000 0.000
0.500 0.500 0.500